[1]
A plane-wave DFT calculation with PBE-GGA was carried out for ZnGaNi6 after structural relaxation.

For the total magnetization, the calculation gives 16.42 μB/cell. The value obtained for the calculated volume is 11.48 A^3/atom. Its density of states at the Fermi level is 63.74 states/eV/cell. For the formation energy, the calculation gives -0.20 eV/atom.

The structure belongs to space group Cmmm (No. 65); the cell edges are 7.167, 10.126 and 10.125 Å and the angles 90.00°, 90.00° and 90.00°. The distinct sites, in fractional coordinates, are Zn at (0.000, 0.000, 0.249), Zn at (0.000, 0.249, 0.000), Ga at (0.000, 0.249, 0.500), Ga at (0.000, 0.500, 0.249), Ni at (0.000, 0.000, 0.000), Ni at (0.000, 0.000, 0.500), Ni at (0.000, 0.250, 0.250), Ni at (0.000, 0.500, 0.000), Ni at (0.000, 0.500, 0.500), Ni at (0.249, 0.375, 0.125) and Ni at (0.249, 0.375, 0.375).


[2]
A plane-wave DFT calculation with PBE-GGA was carried out for ZnGaNi2 after structural relaxation.

For the total magnetization, the calculation gives 0.00 μB/cell. The value obtained for the calculated volume is 12.25 A^3/atom. Its density of states at the Fermi level is 2.00 states/eV/cell. For the formation energy, the calculation gives -0.32 eV/atom.

The structure belongs to space group P4/mmm (No. 123); the cell edges are 3.875, 3.875 and 3.263 Å and the angles 90.00°, 90.00° and 90.00°. The distinct sites, in fractional coordinates, are Zn at (0.000, 0.000, 0.000), Ga at (0.500, 0.500, 0.000) and Ni at (0.000, 0.500, 0.500).


[3]
A plane-wave DFT calculation with PBE-GGA was carried out for ZnGa6Ni12 after structural relaxation.

For the total magnetization, the calculation gives 2.53 μB/cell. The value obtained for the calculated volume is 12.53 A^3/atom. Its density of states at the Fermi level is 57.73 states/eV/cell. For the formation energy, the calculation gives -0.14 eV/atom.

The structure belongs to space group R-3m (No. 166, hexagonal axes); the cell edges are 10.1005, 10.1005 and 8.0858 Å and the angles 90.00°, 90.00° and 120.00°. The distinct sites, in fractional coordinates, are Zn at (0.0000, 0.0000, 0.0000), Ga at (0.0915, 0.1830, 0.7428), Ni at (0.0000, 0.2614, 0.0000) and Ni at (0.0750, 0.5375, 0.1152).


[4]
A plane-wave DFT calculation with PBE-GGA was carried out for ZnGaNi5 after structural relaxation.

For the total magnetization, the calculation gives 1.44 μB/cell. The value obtained for the calculated volume is 12.62 A^3/atom. Its density of states at the Fermi level is 8.74 states/eV/cell. For the formation energy, the calculation gives -0.04 eV/atom. The calculation puts the offset from the most stable computed form at 0.0 meV per atom.

The structure belongs to space group P4/mmm (No. 123); the cell edges are 3.565, 3.565 and 6.950 Å and the angles 90.00°, 90.00° and 90.00°. The distinct sites, in fractional coordinates, are Zn at (0.000, 0.000, 0.000), Ga at (0.500, 0.500, 0.500), Ni at (0.000, 0.000, 0.500) and Ni at (0.000, 0.500, 0.247).


[5]
A plane-wave DFT calculation with PBE-GGA was carried out for Zn2Ga2Ni15 after structural relaxation.

For the total magnetization, the calculation gives 13.19 μB/cell. The value obtained for the calculated volume is 12.21 A^3/atom. Its density of states at the Fermi level is 69.93 states/eV/cell. For the formation energy, the calculation gives 0.03 eV/atom.

The structure belongs to space group R-3m (No. 166, hexagonal axes); the cell edges are 8.0432, 8.0432 and 12.4212 Å and the angles 90.00°, 90.00° and 120.00°. The distinct sites, in fractional coordinates, are Zn at (0.0000, 0.0000, 0.1000), Ga at (0.0000, 0.0000, 0.3658), Ni at (0.0000, 0.3298, 0.0000), Ni at (0.0000, 0.5000, 0.5000) and Ni at (0.0057, 0.5028, 0.1643).


[6]
A plane-wave DFT calculation with PBE-GGA was carried out for Zn3GaNi4 after structural relaxation.

For the total magnetization, the calculation gives 0.00 μB/cell. The value obtained for the calculated volume is 12.18 A^3/atom. Its density of states at the Fermi level is 7.15 states/eV/cell. For the formation energy, the calculation gives -0.29 eV/atom.

The structure belongs to space group Pmma (No. 51); the cell edges are 8.424, 5.412 and 4.274 Å and the angles 90.00°, 90.00° and 90.00°. The distinct sites, in fractional coordinates, are Zn at (0.000, 0.000, 0.000), Zn at (0.250, 0.000, 0.420), Zn at (0.250, 0.500, 0.421), Ga at (0.000, 0.500, 0.000), Ni at (0.000, 0.252, 0.500) and Ni at (0.250, 0.253, 0.912).


[7]
A plane-wave DFT calculation with PBE-GGA was carried out for Zn5GaNi4 after structural relaxation.

For the total magnetization, the calculation gives 0.00 μB/cell. The value obtained for the calculated volume is 13.60 A^3/atom. Its density of states at the Fermi level is 10.71 states/eV/cell. For the formation energy, the calculation gives -0.20 eV/atom.

The structure belongs to space group C2/m (No. 12); the cell edges are 13.063, 3.886 and 6.015 Å and the angles 90.00°, 117.03° and 90.00°. The distinct sites, in fractional coordinates, are Zn at (0.000, 0.000, 0.000), Zn at (0.165, 0.500, 0.195), Zn at (0.177, 0.500, 0.635), Ga at (0.000, 0.000, 0.500), Ni at (0.017, 0.500, 0.754) and Ni at (0.174, 0.000, 0.918).


[8]
A plane-wave DFT calculation with PBE-GGA was carried out for ZnGa2Ni4 after structural relaxation.

For the total magnetization, the calculation gives 0.00 μB/cell. The value obtained for the calculated volume is 14.35 A^3/atom. Its density of states at the Fermi level is 8.09 states/eV/cell. For the formation energy, the calculation gives -0.12 eV/atom. The calculation puts the offset from the most stable computed form at 0.0 meV per atom.

The structure belongs to space group I4/mmm (No. 139); the cell edges are 3.475, 3.475 and 16.641 Å and the angles 90.00°, 90.00° and 90.00°. The distinct sites, in fractional coordinates, are Zn at (0.000, 0.000, 0.000), Ga at (0.000, 0.000, 0.363), Ni at (0.000, 0.000, 0.141) and Ni at (0.000, 0.500, 0.250).


[9]
A plane-wave DFT calculation with PBE-GGA was carried out for ZnGaNi14 after structural relaxation.

For the total magnetization, the calculation gives 13.16 μB/cell. The value obtained for the calculated volume is 11.18 A^3/atom. Its density of states at the Fermi level is 50.17 states/eV/cell. For the formation energy, the calculation gives -0.06 eV/atom.

The structure belongs to space group Amm2 (No. 38); the cell edges are 8.192, 5.072 and 8.613 Å and the angles 90.00°, 90.00° and 90.00°. The distinct sites, in fractional coordinates, are Zn at (0.000, 0.000, 0.000), Ga at (0.000, 0.000, 0.500), Ni at (0.000, 0.250, 0.250), Ni at (0.252, 0.000, 0.328), Ni at (0.253, 0.250, 0.079), Ni at (0.254, 0.000, 0.828), Ni at (0.500, 0.000, 0.160), Ni at (0.500, 0.000, 0.660) and Ni at (0.500, 0.250, 0.410).


[10]
A plane-wave DFT calculation with PBE-GGA was carried out for ZnGa2Ni2 after structural relaxation.

For the total magnetization, the calculation gives 0.00 μB/cell. The value obtained for the calculated volume is 14.08 A^3/atom. Its density of states at the Fermi level is 1.61 states/eV/cell. For the formation energy, the calculation gives -0.34 eV/atom. The calculation puts the offset from the most stable computed form at 0.0 meV per atom.

The structure belongs to space group P-3m1 (No. 164); the cell edges are 4.0795, 4.0795 and 4.8858 Å and the angles 90.00°, 90.00° and 120.00°. The distinct sites, in fractional coordinates, are Zn at (0.0000, 0.0000, 0.0000), Ga at (0.3333, 0.6667, 0.6466) and Ni at (0.3333, 0.6667, 0.1468).